1.
A relaxed structure of CdAgS2, computed with PBE.

a b c (Å): 5.850 5.850 7.098
angles (deg): 65.66 65.66 90.00
Atoms (fractional coordinates):
S1 0.616 0.125 0.250
Ag1 0.250 0.750 0.500
S2 0.134 0.625 0.250
S3 0.875 0.866 0.750
Cd1 0.000 0.000 0.000
Cd2 0.750 0.250 0.500
Ag2 0.500 0.500 0.000
S4 0.375 0.384 0.750

Calculated density = 4785 kg/m³
Uncorrected energy = -25.55 eV for the cell shown


2.
A relaxed structure of RbTaAgSe4, computed with PBE.

a b c (Å): 6.169 7.657 10.209
angles (deg): 90.00 106.13 90.00
Atoms (fractional coordinates):
Se1 0.086 0.988 0.735
Se2 0.554 0.250 0.527
Se3 0.086 0.512 0.735
Se4 0.914 0.012 0.265
Se5 0.914 0.488 0.265
Se6 0.446 0.750 0.473
Ta1 0.866 0.250 0.733
Rb1 0.653 0.750 0.856
Rb2 0.347 0.250 0.144
Ag1 0.360 0.250 0.724
Ta2 0.134 0.750 0.267
Se7 0.270 0.750 0.064
Se8 0.730 0.250 0.936
Ag2 0.640 0.750 0.276

Calculated density = 4948 kg/m³
Uncorrected energy = -68.24 eV for the cell shown


3.
A relaxed structure of FePt3Rh4, computed with PBE.

a b c (Å): 2.706 8.680 6.845
angles (deg): 51.07 101.40 90.00
Atoms (fractional coordinates):
Rh1 0.122 0.655 0.244
Rh2 0.878 0.345 0.756
Fe1 0.500 0.000 0.000
Rh3 0.385 0.845 0.769
Pt1 0.000 0.500 0.000
Pt2 0.742 0.764 0.485
Pt3 0.258 0.236 0.515
Rh4 0.615 0.155 0.231

Calculated density = 14453 kg/m³
E_form = 0.093 eV per atom
Offset from the most stable computed form = 0.000 eV/atom


4.
A relaxed structure of MgTaNi, computed with PBE.

a b c (Å): 4.193 4.193 4.193
angles (deg): 60.00 60.00 60.00
Atoms (fractional coordinates):
Mg1 0.500 0.500 0.500
Ni1 0.750 0.750 0.750
Ta1 0.000 0.000 0.000

Calculated density = 8406 kg/m³
E_form = 0.268 eV per atom
Offset from the most stable computed form = 0.252 eV/atom


5.
A relaxed structure of Be2TlN, computed with PBE.

a b c (Å): 4.167 4.167 4.167
angles (deg): 60.00 60.00 60.00
Atoms (fractional coordinates):
Be1 0.750 0.750 0.750
N1 0.000 0.000 0.000
Tl1 0.500 0.500 0.500
Be2 0.250 0.250 0.250

Calculated density = 7671 kg/m³
Offset from the most stable computed form = 1.687 eV/atom


6.
A relaxed structure of BaCdGa4, computed with PBE.

a b c (Å): 4.361 8.365 16.173
angles (deg): 90.00 90.00 90.00
Atoms (fractional coordinates):
Ga1 0.500 0.981 0.306
Ba1 0.000 0.871 0.850
Ga2 0.500 0.886 0.451
Ba2 0.000 0.371 0.650
Ga3 0.500 0.366 0.467
Ga4 0.500 0.114 0.549
Ga5 0.500 0.712 0.686
Ga6 0.500 0.134 0.967
Cd1 0.000 0.639 0.092
Cd2 0.000 0.861 0.592
Ba3 0.000 0.629 0.350
Ga7 0.500 0.788 0.186
Ga8 0.500 0.288 0.314
Ga9 0.500 0.866 0.033
Cd3 0.000 0.361 0.908
Ga10 0.500 0.019 0.694
Cd4 0.000 0.139 0.408
Ga11 0.500 0.212 0.814
Ga12 0.500 0.519 0.806
Ba4 0.000 0.129 0.150
Ga13 0.500 0.634 0.533
Ga14 0.500 0.386 0.049
Ga15 0.500 0.614 0.951
Ga16 0.500 0.481 0.194

Calculated density = 5952 kg/m³
E_form = -0.284 eV per atom
Offset from the most stable computed form = 0.000 eV/atom


7.
A relaxed structure of Rb5Cd4, computed with PBE.

a b c (Å): 5.680 7.349 12.342
angles (deg): 76.64 76.70 67.26
Atoms (fractional coordinates):
Rb1 0.754 0.669 0.824
Cd1 0.410 0.569 0.612
Cd2 0.590 0.431 0.388
Rb2 0.246 0.331 0.176
Cd3 0.453 0.272 0.821
Cd4 0.547 0.728 0.179
Rb3 0.885 0.829 0.400
Rb4 0.000 0.000 0.000
Rb5 0.115 0.171 0.600

Calculated density = 3190 kg/m³
E_form = -0.024 eV per atom


8.
A relaxed structure of Zr2SbPd, computed with PBE.

a b c (Å): 4.223 4.223 6.010
angles (deg): 90.00 90.00 120.00
Atoms (fractional coordinates):
Zr1 0.333 0.667 0.219
Sb1 0.000 0.000 0.500
Zr2 0.667 0.333 0.781
Pd1 0.000 0.000 0.000

Calculated density = 7344 kg/m³
Uncorrected energy = -28.13 eV for the cell shown


Table of M_tot (μB per formula unit), in record order: 0.0; 0.0; 3.9; 0.0; 0.0; 0.0; 0.0; 0.0